Record 1
# Pu5PaSb6, relaxed, DFT PBE
data_Pu5PaSb6
_symmetry_space_group_name_H-M 'C 1 2/m 1'
_symmetry_Int_Tables_number 12
_symmetry_space_group_name_Hall '-C 2y'
_cell_length_a 15.4529
_cell_length_b 8.0417
_cell_length_c 5.1578
_cell_angle_alpha 90.00
_cell_angle_beta 97.44
_cell_angle_gamma 90.00
loop_
_atom_site_label
_atom_site_type_symbol
_atom_site_fract_x
_atom_site_fract_y
_atom_site_fract_z
Pu1 Pu 0.0000 0.0000 0.0000
Pu2 Pu 0.1654 0.5000 0.6741
Pu3 Pu 0.1726 0.0000 0.6644
Pa1 Pa 0.0000 0.5000 0.0000
Sb1 Sb 0.0000 0.2493 0.5000
Sb2 Sb 0.1658 0.2493 0.1676
# * calculated volume: 635.54 Å³/cell
# * DOS(E_F): 4.123 states/eV per atom
# * total magnetization: 19.1 μB per formula unit

Record 2
# PuPaSb2, relaxed, DFT PBE
data_PuPaSb2
_symmetry_space_group_name_H-M 'R -3 m'
_symmetry_Int_Tables_number 166
_symmetry_space_group_name_Hall '-R 3 2"'
_cell_length_a 3.2636
_cell_length_b 3.2636
_cell_length_c 35.0926
_cell_angle_alpha 90.00
_cell_angle_beta 90.00
_cell_angle_gamma 120.00
loop_
_atom_site_label
_atom_site_type_symbol
_atom_site_fract_x
_atom_site_fract_y
_atom_site_fract_z
Pu1 Pu 0.0000 0.0000 0.0000
Pa1 Pa 0.0000 0.0000 0.5000
Sb1 Sb 0.0000 0.0000 0.4100
# * calculated volume: 323.69 Å³/cell
# * DOS(E_F): 2.662 states/eV per atom
# * total magnetization: 4.9 μB per formula unit

Record 3
# PuPa4Sb5, relaxed, DFT PBE
data_PuPa4Sb5
_symmetry_space_group_name_H-M 'I m m m'
_symmetry_Int_Tables_number 71
_symmetry_space_group_name_Hall '-I 2 2'
_cell_length_a 4.3600
_cell_length_b 6.1870
_cell_length_c 21.9477
_cell_angle_alpha 90.00
_cell_angle_beta 90.00
_cell_angle_gamma 90.00
loop_
_atom_site_label
_atom_site_type_symbol
_atom_site_fract_x
_atom_site_fract_y
_atom_site_fract_z
Pu1 Pu 0.0000 0.0000 0.0000
Pa1 Pa 0.0000 0.0000 0.2012
Pa2 Pa 0.0000 0.0000 0.4002
Sb1 Sb 0.0000 0.5000 0.0000
Sb2 Sb 0.0000 0.5000 0.1991
Sb3 Sb 0.0000 0.5000 0.3990
# * calculated volume: 592.05 Å³/cell
# * DOS(E_F): 2.502 states/eV per atom
# * total magnetization: 5.0 μB per formula unit

Record 4
# Pu2Pa4Sb3, relaxed, DFT PBE
data_Pu2Pa4Sb3
_symmetry_space_group_name_H-M 'C 1 2/c 1'
_symmetry_Int_Tables_number 15
_symmetry_space_group_name_Hall '-C 2yc'
_cell_length_a 15.0570
_cell_length_b 10.9982
_cell_length_c 5.4334
_cell_angle_alpha 90.00
_cell_angle_beta 93.95
_cell_angle_gamma 90.00
loop_
_atom_site_label
_atom_site_type_symbol
_atom_site_fract_x
_atom_site_fract_y
_atom_site_fract_z
Pu1 Pu 0.1165 0.1284 0.2733
Pa1 Pa 0.0469 0.3765 0.0509
Pa2 Pa 0.2126 0.1252 0.8905
Sb1 Sb 0.0000 0.1230 0.7500
Sb2 Sb 0.1682 0.3755 0.5824
# * calculated volume: 897.64 Å³/cell
# * DOS(E_F): 1.988 states/eV per atom
# * total magnetization: 11.0 μB per formula unit

Record 5
# PuPa2Sb2, relaxed, DFT PBE
data_PuPa2Sb2
_symmetry_space_group_name_H-M 'P 63/m m c'
_symmetry_Int_Tables_number 194
_symmetry_space_group_name_Hall '-P 6c 2c'
_cell_length_a 4.9854
_cell_length_b 4.9854
_cell_length_c 11.7079
_cell_angle_alpha 90.00
_cell_angle_beta 90.00
_cell_angle_gamma 120.00
loop_
_atom_site_label
_atom_site_type_symbol
_atom_site_fract_x
_atom_site_fract_y
_atom_site_fract_z
Pu1 Pu 0.0000 0.0000 0.2500
Pa1 Pa 0.0000 0.0000 0.0000
Pa2 Pa 0.3333 0.6667 0.2500
Sb1 Sb 0.3333 0.6667 0.6101
# * calculated volume: 252.00 Å³/cell
# * DOS(E_F): 1.872 states/eV per atom
# * total magnetization: 5.7 μB per formula unit

Record 6
# PuPaSb2, relaxed, DFT PBE
data_PuPaSb2
_symmetry_space_group_name_H-M 'I 41/a m d'
_symmetry_Int_Tables_number 141
_cell_length_a 6.2230
_cell_length_b 6.2230
_cell_length_c 12.4535
_cell_angle_alpha 90.00
_cell_angle_beta 90.00
_cell_angle_gamma 90.00
loop_
_symmetry_equiv_pos_as_xyz
'x,y,z'
'-x,-y,-z'
'-y+1/4,x+3/4,z+1/4'
'y+1/4,-x+3/4,-z+1/4'
'-x+1/2,-y,z+1/2'
'x+1/2,y,-z+1/2'
'y+1/4,-x+1/4,z+3/4'
'-y+1/4,x+1/4,-z+3/4'
'x,-y,-z'
'-x,y,z'
'-y+1/4,-x+1/4,-z+3/4'
'y+1/4,x+1/4,z+3/4'
'-x+1/2,y,-z+1/2'
'x+1/2,-y,z+1/2'
'y+1/4,x+3/4,-z+1/4'
'-y+1/4,-x+3/4,z+1/4'
'x+1/2,y+1/2,z+1/2'
'-x+1/2,-y+1/2,-z+1/2'
'-y+3/4,x+1/4,z+3/4'
'y+3/4,-x+1/4,-z+3/4'
'-x,-y+1/2,z'
'x,y+1/2,-z'
'y+3/4,-x+3/4,z+1/4'
'-y+3/4,x+3/4,-z+1/4'
'x+1/2,-y+1/2,-z+1/2'
'-x+1/2,y+1/2,z+1/2'
'-y+3/4,-x+3/4,-z+1/4'
'y+3/4,x+3/4,z+1/4'
'-x,y+1/2,-z'
'x,-y+1/2,z'
'y+3/4,x+1/4,-z+3/4'
'-y+3/4,-x+1/4,z+3/4'
loop_
_atom_site_label
_atom_site_type_symbol
_atom_site_fract_x
_atom_site_fract_y
_atom_site_fract_z
Pu1 Pu 0.0000 0.2500 0.3750
Pa1 Pa 0.0000 0.2500 0.8750
Sb1 Sb 0.0000 0.2500 0.1232
# * calculated volume: 482.27 Å³/cell
# * DOS(E_F): 3.774 states/eV per atom
# * total magnetization: 6.3 μB per formula unit

Record 7
# PuPa6Sb10, relaxed, DFT PBE
data_PuPa6Sb10
_symmetry_space_group_name_H-M 'P -3 1 m'
_symmetry_Int_Tables_number 162
_symmetry_space_group_name_Hall '-P 3 2'
_cell_length_a 9.3174
_cell_length_b 9.3174
_cell_length_c 6.1639
_cell_angle_alpha 90.00
_cell_angle_beta 90.00
_cell_angle_gamma 120.00
loop_
_atom_site_label
_atom_site_type_symbol
_atom_site_fract_x
_atom_site_fract_y
_atom_site_fract_z
Pu1 Pu 0.0000 0.0000 0.0000
Pa1 Pa 0.0000 0.3845 0.2472
Sb1 Sb 0.0000 0.2726 0.7357
Sb2 Sb 0.3333 0.6667 0.0000
Sb3 Sb 0.3333 0.6667 0.5000
# * calculated volume: 463.42 Å³/cell
# * DOS(E_F): 1.581 states/eV per atom
# * total magnetization: 10.8 μB per formula unit

Record 8
# PuPa2Sb3, relaxed, DFT PBE
data_PuPa2Sb3
_symmetry_space_group_name_H-M 'C 1 2/m 1'
_symmetry_Int_Tables_number 12
_symmetry_space_group_name_Hall '-C 2y'
_cell_length_a 7.5727
_cell_length_b 13.1191
_cell_length_c 7.6157
_cell_angle_alpha 90.00
_cell_angle_beta 109.36
_cell_angle_gamma 90.00
loop_
_atom_site_label
_atom_site_type_symbol
_atom_site_fract_x
_atom_site_fract_y
_atom_site_fract_z
Pu1 Pu 0.0000 0.1663 0.0000
Pa1 Pa 0.0000 0.0000 0.5000
Pa2 Pa 0.0000 0.3318 0.5000
Pa3 Pa 0.0000 0.5000 0.0000
Sb1 Sb 0.2471 0.5000 0.7473
Sb2 Sb 0.2494 0.3341 0.2509
# * calculated volume: 713.80 Å³/cell
# * DOS(E_F): 2.952 states/eV per atom
# * total magnetization: 5.0 μB per formula unit

Record 9
# SmPuPa2Sb4, relaxed, DFT PBE
data_SmPuPa2Sb4
_symmetry_space_group_name_H-M 'I -4 m 2'
_symmetry_Int_Tables_number 119
_symmetry_space_group_name_Hall 'I -4 -2'
_cell_length_a 6.2304
_cell_length_b 6.2304
_cell_length_c 12.4734
_cell_angle_alpha 90.00
_cell_angle_beta 90.00
_cell_angle_gamma 90.00
loop_
_atom_site_label
_atom_site_type_symbol
_atom_site_fract_x
_atom_site_fract_y
_atom_site_fract_z
Sm1 Sm 0.0000 0.0000 0.0000
Pu1 Pu 0.0000 0.5000 0.7500
Pa1 Pa 0.0000 0.0000 0.5000
Pa2 Pa 0.0000 0.5000 0.2500
Sb1 Sb 0.0000 0.0000 0.2529
Sb2 Sb 0.0000 0.5000 0.0017
# * calculated volume: 484.19 Å³/cell
# * DOS(E_F): 2.545 states/eV per atom
# * total magnetization: 7.1 μB per formula unit

Record 10
# Sr3Pu2PaSb6, relaxed, DFT PBE
data_Sr3Pu2PaSb6
_symmetry_space_group_name_H-M 'C 1 2/m 1'
_symmetry_Int_Tables_number 12
_symmetry_space_group_name_Hall '-C 2y'
_cell_length_a 7.9162
_cell_length_b 13.7088
_cell_length_c 7.9845
_cell_angle_alpha 90.00
_cell_angle_beta 109.28
_cell_angle_gamma 90.00
loop_
_atom_site_label
_atom_site_type_symbol
_atom_site_fract_x
_atom_site_fract_y
_atom_site_fract_z
Sr1 Sr 0.0000 0.0000 0.0000
Sr2 Sr 0.0000 0.3317 0.0000
Pu1 Pu 0.0000 0.1664 0.5000
Pa1 Pa 0.0000 0.5000 0.5000
Sb1 Sb 0.2373 0.3358 0.7200
Sb2 Sb 0.2457 0.0000 0.7204
# * calculated volume: 817.91 Å³/cell
# * DOS(E_F): 2.453 states/eV per atom
# * total magnetization: 9.0 μB per formula unit

Record 11
# TbPu2PaSb4, relaxed, DFT PBE
data_TbPu2PaSb4
_symmetry_space_group_name_H-M 'P 1 2/m 1'
_symmetry_Int_Tables_number 10
_symmetry_space_group_name_Hall '-P 2y'
_cell_length_a 5.3471
_cell_length_b 5.3506
_cell_length_c 7.4962
_cell_angle_alpha 90.00
_cell_angle_beta 90.09
_cell_angle_gamma 90.00
loop_
_atom_site_label
_atom_site_type_symbol
_atom_site_fract_x
_atom_site_fract_y
_atom_site_fract_z
Tb1 Tb 0.0000 0.0000 0.0000
Pu1 Pu 0.0000 0.0000 0.5000
Pu2 Pu 0.5000 0.5000 0.0000
Pa1 Pa 0.5000 0.5000 0.5000
Sb1 Sb 0.9999 0.5000 0.2524
Sb2 Sb 0.4999 0.0000 0.2529
# * calculated volume: 214.46 Å³/cell
# * DOS(E_F): 3.214 states/eV per atom
# * total magnetization: 12.4 μB per formula unit

Record 12
# TbPuPa2Sb4, relaxed, DFT PBE
data_TbPuPa2Sb4
_symmetry_space_group_name_H-M 'P 1 2/m 1'
_symmetry_Int_Tables_number 10
_symmetry_space_group_name_Hall '-P 2y'
_cell_length_a 7.5912
_cell_length_b 4.3947
_cell_length_c 7.6318
_cell_angle_alpha 90.00
_cell_angle_beta 109.48
_cell_angle_gamma 90.00
loop_
_atom_site_label
_atom_site_type_symbol
_atom_site_fract_x
_atom_site_fract_y
_atom_site_fract_z
Tb1 Tb 0.0000 0.0000 0.0000
Pu1 Pu 0.0000 0.5000 0.5000
Pa1 Pa 0.5000 0.0000 0.5000
Pa2 Pa 0.5000 0.5000 0.0000
Sb1 Sb 0.2523 0.0000 0.7520
Sb2 Sb 0.2518 0.5000 0.2492
# * calculated volume: 240.04 Å³/cell
# * DOS(E_F): 2.334 states/eV per atom
# * total magnetization: 7.4 μB per formula unit

Number 1: ΔE_f (raw) -541.1 meV/atom. Number 2: ΔE_f (raw) 16.7 meV/atom. Number 3: ΔE_f (raw) -481.7 meV/atom. Number 4: ΔE_f (raw) -365.2 meV/atom. Number 5: ΔE_f (raw) -252.0 meV/atom. Number 6: ΔE_f (raw) -547.0 meV/atom. Number 7: ΔE_f (raw) -528.8 meV/atom. Number 8: ΔE_f (raw) -513.7 meV/atom. Number 9: ΔE_f (raw) -677.8 meV/atom. Number 10: ΔE_f (raw) -769.1 meV/atom. Number 11: ΔE_f (raw) -592.8 meV/atom. Number 12: ΔE_f (raw) -669.3 meV/atom.